*i*
A relaxed SmHoBr6 crystal, computed with GGA-PBE.

abc: 7.582 7.582 7.020
angles: 97.80 97.80 124.83
Sites, in units of the cell vectors:
1 Sm 0.000 0.000 0.000
2 Ho 0.500 0.500 0.500
3 Br 0.600 0.887 0.744
4 Br 0.887 0.600 0.744
5 Br 0.113 0.400 0.256
6 Br 0.400 0.113 0.256
7 Br 0.252 0.252 0.746
8 Br 0.748 0.748 0.254

Calculated density   4166 kg/m³

---

*ii*
A relaxed SmHoBr6 crystal, computed with GGA-PBE.

abc: 7.105 7.104 7.658
angles: 62.36 62.36 60.00
Sites, in units of the cell vectors:
1 Sm 0.000 0.000 0.000
2 Ho 0.500 0.500 0.500
3 Br 0.096 0.412 0.747
4 Br 0.745 0.096 0.747
5 Br 0.588 0.255 0.253
6 Br 0.255 0.904 0.253
7 Br 0.904 0.588 0.253
8 Br 0.412 0.745 0.747

Calculated density   4669 kg/m³

---

Most favorable structure: *i*. The second most favorable one is 17 meV per atom above it.

---

*i*
A relaxed TbHoBr6 crystal, computed with GGA-PBE.

abc: 7.070 7.070 7.592
angles: 62.24 62.24 59.99
Sites, in units of the cell vectors:
1 Tb 0.000 0.000 0.000
2 Ho 0.500 0.500 0.500
3 Br 0.096 0.407 0.749
4 Br 0.748 0.096 0.749
5 Br 0.593 0.252 0.251
6 Br 0.252 0.904 0.251
7 Br 0.904 0.593 0.251
8 Br 0.407 0.748 0.749

Calculated density   4815 kg/m³

---

*ii*
A relaxed TbHoBr6 crystal, computed with GGA-PBE.

abc: 7.593 7.593 6.953
angles: 97.79 97.79 125.50
Sites, in units of the cell vectors:
1 Tb 0.000 0.000 0.000
2 Ho 0.500 0.500 0.500
3 Br 0.605 0.890 0.748
4 Br 0.890 0.605 0.748
5 Br 0.110 0.395 0.252
6 Br 0.395 0.110 0.252
7 Br 0.251 0.251 0.749
8 Br 0.749 0.749 0.251

Calculated density   4280 kg/m³

---

Most favorable structure: *ii*. The second most favorable one is 19 meV per atom above it.

---

*i*
A relaxed Ho2TeBr crystal, computed with GGA-PBE.

abc: 3.857 3.857 8.734
angles: 77.25 77.25 60.00
Site moments in Bohr magnetons follow the coordinates.
Sites, in units of the cell vectors:
1 Ho 0.082 0.082 0.755  0.07
2 Ho 0.252 0.252 0.244  0.14
3 Te 0.666 0.666 0.001  0.01
4 Br 0.500 0.500 0.501  0.00

Calculated density   8202 kg/m³

---

*ii*
A relaxed Ho2TeBr crystal, computed with GGA-PBE.

abc: 4.035 4.035 9.623
angles: 77.90 77.90 60.00
Sites, in units of the cell vectors:
1 Te 0.500 0.500 0.500
2 Ho 0.098 0.098 0.707
3 Ho 0.902 0.902 0.293
4 Br 0.000 0.000 0.000

Calculated density   6778 kg/m³

---

Most favorable structure: *i*. The second most favorable one is 54 meV per atom above it.

---

*i*
A relaxed YHoBr6 crystal, computed with GGA-PBE.

abc: 7.509 7.509 6.941
angles: 97.89 97.89 124.94
Sites, in units of the cell vectors:
1 Y 0.000 0.000 0.000
2 Ho 0.500 0.500 0.500
3 Br 0.604 0.893 0.749
4 Br 0.893 0.604 0.749
5 Br 0.107 0.396 0.251
6 Br 0.396 0.107 0.251
7 Br 0.251 0.251 0.749
8 Br 0.749 0.749 0.251

Calculated density   3974 kg/m³

---

*ii*
A relaxed YHoBr6 crystal, computed with GGA-PBE.

abc: 7.043 7.044 7.575
angles: 62.30 62.30 60.00
Sites, in units of the cell vectors:
1 Y 0.000 0.000 0.000
2 Ho 0.500 0.500 0.500
3 Br 0.094 0.408 0.749
4 Br 0.749 0.094 0.749
5 Br 0.592 0.251 0.251
6 Br 0.251 0.906 0.251
7 Br 0.906 0.592 0.251
8 Br 0.408 0.749 0.749

Calculated density   4434 kg/m³

---

Most favorable structure: *i*. The second most favorable one is 19 meV per atom above it.

---

*i*
A relaxed YHoBr crystal, computed with GGA-PBE.

abc: 3.721 3.721 7.235
angles: 90.00 90.00 120.00
Site moments in Bohr magnetons follow the coordinates.
Sites, in units of the cell vectors:
1 Y 0.333 0.667 0.651  0.06
2 Ho 0.000 0.000 0.015  0.09
3 Br 0.667 0.333 0.334  0.00

Calculated density   6387 kg/m³

---

*ii*
A relaxed YHoBr crystal, computed with GGA-PBE.

abc: 3.627 6.262 9.941
angles: 57.36 79.49 73.16
Sites, in units of the cell vectors:
1 Y 0.870 0.826 0.434
2 Y 0.130 0.174 0.566
3 Ho 0.375 0.465 0.785
4 Ho 0.625 0.535 0.215
5 Br 0.864 0.197 0.075
6 Br 0.136 0.803 0.925

Calculated density   6093 kg/m³

---

Most favorable structure: *i*. The second most favorable one is 115 meV per atom above it.

---

*i*
A relaxed In3IBr2 crystal, computed with GGA-PBE.

abc: 4.993 4.993 10.607
angles: 103.61 103.61 90.00
Sites, in units of the cell vectors:
1 In 0.934 0.936 0.874
2 In 0.262 0.263 0.529
3 In 0.607 0.608 0.219
4 I 0.434 0.436 0.874
5 Br 0.100 0.102 0.206
6 Br 0.768 0.770 0.542

Calculated density   4203 kg/m³

---

*ii*
A relaxed In3IBr2 crystal, computed with GGA-PBE.

abc: 6.746 9.030 9.030
angles: 98.92 90.00 90.00
Sites, in units of the cell vectors:
1 In 0.993 0.819 0.459
2 In 0.493 0.541 0.181
3 In 0.993 0.459 0.819
4 In 0.493 0.181 0.541
5 In 0.493 0.846 0.846
6 In 0.993 0.154 0.154
7 I 0.993 0.824 0.824
8 I 0.493 0.176 0.176
9 Br 0.493 0.833 0.501
10 Br 0.993 0.499 0.167
11 Br 0.493 0.501 0.833
12 Br 0.993 0.167 0.499

Calculated density   3857 kg/m³

---

Most favorable structure: *i*. The second most favorable one is 22 meV per atom above it.

---

*i*
A relaxed InIBr2 crystal, computed with GGA-PBE.

abc: 11.704 11.704 11.704
angles: 19.35 19.35 19.35
Sites, in units of the cell vectors:
1 I 0.000 0.000 0.000
2 Br 0.885 0.885 0.885
3 Br 0.115 0.115 0.115
4 In 0.500 0.500 0.500

Calculated density   4332 kg/m³

---

*ii*
A relaxed InIBr2 crystal, computed with GGA-PBE.

abc: 7.614 12.198 7.177
angles: 90.00 106.76 90.00
Sites, in units of the cell vectors:
1 I 0.056 0.168 0.081
2 I 0.056 0.832 0.081
3 I 0.056 0.668 0.581
4 I 0.056 0.332 0.581
5 Br 0.027 0.000 0.555
6 Br 0.027 0.500 0.055
7 Br 0.603 0.686 0.084
8 Br 0.603 0.314 0.084
9 Br 0.603 0.186 0.584
10 Br 0.603 0.814 0.584
11 Br 0.599 0.000 0.146
12 Br 0.599 0.500 0.646
13 In 0.820 0.834 0.340
14 In 0.820 0.166 0.340
15 In 0.820 0.334 0.840
16 In 0.820 0.666 0.840

Calculated density   4179 kg/m³

---

Most favorable structure: *ii*. The second most favorable one is 421 meV per atom above it.

---

*i*
A relaxed InIBr2 crystal, computed with GGA-PBE.

abc: 7.432 12.562 6.942
angles: 90.00 104.12 90.00
Sites, in units of the cell vectors:
1 I 0.743 0.000 0.214
2 I 0.257 0.000 0.786
3 I 0.743 0.500 0.714
4 I 0.257 0.500 0.286
5 Br 0.283 0.819 0.267
6 Br 0.717 0.819 0.733
7 Br 0.717 0.181 0.733
8 Br 0.283 0.181 0.267
9 Br 0.283 0.319 0.767
10 Br 0.717 0.319 0.233
11 Br 0.717 0.681 0.233
12 Br 0.283 0.681 0.767
13 In 0.500 0.667 0.500
14 In 0.500 0.333 0.500
15 In 0.500 0.167 0.000
16 In 0.500 0.833 0.000

Calculated density   4244 kg/m³

---

*ii*
A relaxed InIBr2 crystal, computed with GGA-PBE.

abc: 7.109 3.950 14.037
angles: 90.00 118.12 90.00
Sites, in units of the cell vectors:
1 I 0.435 0.000 0.257
2 I 0.435 0.500 0.757
3 Br 0.814 0.000 0.642
4 Br 0.814 0.500 0.142
5 Br 0.164 0.000 0.431
6 Br 0.164 0.500 0.931
7 In 0.182 0.000 0.799
8 In 0.182 0.500 0.299

Calculated density   3836 kg/m³

---

*iii*
A relaxed InIBr2 crystal, computed with GGA-PBE.

abc: 4.303 6.510 13.556
angles: 90.00 90.88 90.00
Sites, in units of the cell vectors:
1 I 0.500 0.118 0.500
2 I 0.500 0.618 0.000
3 Br 0.994 0.610 0.344
4 Br 0.006 0.610 0.656
5 Br 0.994 0.110 0.844
6 Br 0.006 0.110 0.156
7 In 0.000 0.909 0.000
8 In 0.000 0.409 0.500

Calculated density   3512 kg/m³

---

Most favorable structure: *i*. The second most favorable one is 45 meV per atom above it.